A plane-wave DFT calculation with GGA-PBE was carried out for crystalline InSCl2F at its relaxed geometry.

Results
The total magnetization is 1.7 μB per formula unit. The density of states at the Fermi level is 0.84 states/eV per atom. The crystal system is tetragonal. For the uncorrected formation energy, the calculation gives -96 meV per atom. Its energy relative to the lowest polymorph listed for this composition is 84 meV per atom.

Geometry as CIF:
```
data_InSCl2F
_chemical_formula_sum 'In1 S1 Cl2 F1'
_space_group_name_H-M_alt 'P 4/m m m'
_space_group_IT_number 123
_space_group_name_Hall '-P 4 2'
_cell_length_a 5.640
_cell_length_b 5.640
_cell_length_c 3.696
_cell_angle_alpha 90.00
_cell_angle_beta 90.00
_cell_angle_gamma 90.00
loop_
_atom_site_label
_atom_site_fract_x
_atom_site_fract_y
_atom_site_fract_z
_atom_site_occupancy
In1 0.000 0.000 0.000 1
S1 0.500 0.500 0.000 1
Cl1 0.000 0.500 0.500 1
F1 0.500 0.500 0.500 1
```